Entry from Alexandria: a relaxed Y2PtRh crystal (PBE).

Computed properties:
ΔH_f (0 K) in kJ per mole of atoms: -79.2
Space-group type: No. 119
Density of states at the Fermi level in states/eV/atom: 0.5143

POSCAR file:
```
Y2PtRh
1.0
-2.031 2.031 5.089
2.031 -2.031 5.089
2.031 2.031 -5.089
Y Pt Rh
2 1 1
direct
0.000 0.000 0.000
0.750 0.250 0.500
0.500 0.500 0.000
0.250 0.750 0.500
```